A.
BaTaF2 | PBE-GGA | optimized geometry

Computed properties:
The crystal system is cubic. The value obtained for the density of states at the Fermi level is 12.58 states/eV/f.u.

Unit cell a=4.9331 b=4.9331 c=4.9331 alpha=60.00 beta=60.00 gamma=60.00
With the nearest neighbours (Å) after each atom.
Fractional positions:
Ba 0.0000 0.0000 0.0000  8 F 3.02
Ta 0.5000 0.5000 0.5000  8 F 3.02
F 0.2500 0.2500 0.2500  4 Ta 3.02, 4 Ba 3.02
F 0.7500 0.7500 0.7500  4 Ta 3.02, 4 Ba 3.02



B.
BaTaF2 | PBE-GGA | optimized geometry

Computed properties:
The crystal system is tetragonal. The value obtained for the density of states at the Fermi level is 2.14 states/eV/f.u.

Unit cell a=7.7855 b=7.7855 c=7.7855 alpha=143.06 beta=143.06 gamma=53.24
With the nearest neighbours (Å) after each atom.
Fractional positions:
Ba 0.3750 0.6250 0.7500  8 F 3.26, 4 Ta 3.49
Ba 0.6250 0.3750 0.2500  8 F 3.26, 4 Ta 3.49
Ta 0.1250 0.8750 0.2500  4 F 2.13
Ta 0.8750 0.1250 0.7500  4 F 2.13
F 0.0000 0.0000 0.0000  2 Ta 2.13
F 0.0000 0.0000 0.5000  2 Ta 2.13
F 0.0000 0.5000 0.0000  2 Ta 2.13
F 0.5000 0.0000 0.5000  2 Ta 2.13



C.
BaTaF2 | PBE-GGA | optimized geometry

Computed properties:
The crystal system is trigonal. The value obtained for the density of states at the Fermi level is 2.40 states/eV/f.u.

Unit cell a=8.2387 b=8.2387 c=8.2387 alpha=23.52 beta=23.52 gamma=23.52
With the nearest neighbours (Å) after each atom.
Fractional positions:
Ba 0.0000 0.0000 0.0000  6 F 2.74
Ta 0.5000 0.5000 0.5000  2 F 2.07
F 0.4138 0.4138 0.4138  1 Ta 2.07
F 0.5862 0.5862 0.5862  1 Ta 2.07



Relative energies, in meV/atom, with the most stable structure set to zero: A 846; B 248; C 0.



A.
BaTaF3 | PBE-GGA | optimized geometry

Computed properties:
The crystal system is cubic. The value obtained for the density of states at the Fermi level is 1.53 states/eV/f.u.

Unit cell a=4.5613 b=4.5613 c=4.5613 alpha=90.00 beta=90.00 gamma=90.00
With the nearest neighbours (Å) after each atom.
Fractional positions:
Ba 0.0000 0.0000 0.0000  12 F 3.23
Ta 0.5000 0.5000 0.5000  6 F 2.28
F 0.0000 0.5000 0.5000  2 Ta 2.28
F 0.5000 0.0000 0.5000  2 Ta 2.28
F 0.5000 0.5000 0.0000  2 Ta 2.28



B.
BaTaF3 | PBE-GGA | optimized geometry

Computed properties:
The crystal system is cubic. The value obtained for the density of states at the Fermi level is 21.82 states/eV/f.u.

Unit cell a=5.0702 b=5.0702 c=5.0702 alpha=90.00 beta=90.00 gamma=90.00
With the nearest neighbours (Å) after each atom.
Fractional positions:
Ba 0.0000 0.0000 0.0000  6 F 2.54
Ta 0.5000 0.5000 0.5000  12 F 3.59
F 0.0000 0.0000 0.5000  2 Ba 2.54
F 0.0000 0.5000 0.0000  2 Ba 2.54
F 0.5000 0.0000 0.0000  2 Ba 2.54



Relative energies, in meV/atom, with the most stable structure set to zero: A 0; B 591.



A.
BaTc2F | PBE-GGA | optimized geometry

Computed properties:
The crystal system is tetragonal. The value obtained for the density of states at the Fermi level is 2.51 states/eV/f.u.

Unit cell a=14.0187 b=14.0187 c=14.0187 alpha=165.39 beta=165.39 gamma=20.72
With the nearest neighbours (Å) after each atom.
Fractional positions:
Ba 0.0000 0.0000 0.0000  4 F 2.52
Ba 0.7500 0.2500 0.5000  4 F 2.52
Tc 0.1234 0.6250 0.9984  4 Tc 2.51-2.53
Tc 0.3750 0.3734 0.4984  4 Tc 2.51-2.53
Tc 0.6266 0.1250 0.0016  4 Tc 2.51-2.53
Tc 0.8750 0.8766 0.5016  4 Tc 2.51-2.53
F 0.2500 0.7500 0.5000  4 Ba 2.52
F 0.5000 0.5000 0.0000  4 Ba 2.52



B.
BaTc2F | PBE-GGA | optimized geometry

Computed properties:
The crystal system is cubic. The value obtained for the density of states at the Fermi level is 4.91 states/eV/f.u.

Unit cell a=4.7951 b=4.7951 c=4.7951 alpha=60.00 beta=60.00 gamma=60.00
With the nearest neighbours (Å) after each atom.
Fractional positions:
Ba 0.0000 0.0000 0.0000  8 Tc 2.94
Tc 0.2500 0.2500 0.2500  4 Ba 2.94, 4 F 2.94
Tc 0.7500 0.7500 0.7500  4 Ba 2.94, 4 F 2.94
F 0.5000 0.5000 0.5000  8 Tc 2.94



Relative energies, in meV/atom, with the most stable structure set to zero: A 0; B 1828.



A.
Ba2TcF | PBE-GGA | optimized geometry

Computed properties:
The crystal system is tetragonal. The value obtained for the density of states at the Fermi level is 1.67 states/eV/f.u.

Unit cell a=6.9975 b=6.9975 c=6.9975 alpha=114.98 beta=114.98 gamma=98.95
With the nearest neighbours (Å) after each atom.
Fractional positions:
Ba 0.0730 0.1250 0.4480  2 F 2.65
Ba 0.3750 0.9270 0.0520  2 F 2.65
Ba 0.6770 0.6250 0.5520  2 F 2.65
Ba 0.8750 0.3230 0.9480  2 F 2.65
Tc 0.2500 0.7500 0.5000  4 Ba 3.16
Tc 0.5000 0.5000 0.0000  4 Ba 3.16
F 0.0000 0.0000 0.0000  4 Ba 2.65
F 0.7500 0.2500 0.5000  4 Ba 2.65



B.
Ba2TcF | PBE-GGA | optimized geometry

Computed properties:
The crystal system is cubic. The value obtained for the density of states at the Fermi level is 7.84 states/eV/f.u.

Unit cell a=5.4315 b=5.4315 c=5.4315 alpha=60.00 beta=60.00 gamma=60.00
With the nearest neighbours (Å) after each atom.
Fractional positions:
Ba 0.2500 0.2500 0.2500  4 F 3.33, 4 Tc 3.33
Ba 0.7500 0.7500 0.7500  4 Tc 3.33, 4 F 3.33
Tc 0.0000 0.0000 0.0000  8 Ba 3.33
F 0.5000 0.5000 0.5000  8 Ba 3.33



Relative energies, in meV/atom, with the most stable structure set to zero: A 0; B 310.



A.
BaTe3F | PBE-GGA | optimized geometry

Computed properties:
The crystal system is cubic. The value obtained for the density of states at the Fermi level is 1.69 states/eV/f.u.

Unit cell a=5.1902 b=5.1902 c=5.1902 alpha=90.00 beta=90.00 gamma=90.00
With the nearest neighbours (Å) after each atom.
Fractional positions:
Ba 0.0000 0.0000 0.0000  12 Te 3.67
Te 0.0000 0.5000 0.5000  2 F 2.60
Te 0.5000 0.0000 0.5000  2 F 2.60
Te 0.5000 0.5000 0.0000  2 F 2.60
F 0.5000 0.5000 0.5000  6 Te 2.60



B.
BaTe3F | PBE-GGA | optimized geometry

Computed properties:
The crystal system is cubic. The value obtained for the density of states at the Fermi level is 10.79 states/eV/f.u.

Unit cell a=6.8688 b=6.8688 c=6.8688 alpha=90.00 beta=90.00 gamma=90.00
With the nearest neighbours (Å) after each atom.
Fractional positions:
Ba 0.0000 0.0000 0.0000  6 Te 3.43
Te 0.0000 0.0000 0.5000  2 Ba 3.43
Te 0.0000 0.5000 0.0000  2 Ba 3.43
Te 0.5000 0.0000 0.0000  2 Ba 3.43
F 0.5000 0.5000 0.5000  12 Te 4.86



Relative energies, in meV/atom, with the most stable structure set to zero: A 0; B 1030.



A.
Ba2TeF | PBE-GGA | optimized geometry

Computed properties:
The crystal system is tetragonal. The value obtained for the density of states at the Fermi level is 0.44 states/eV/f.u.

Unit cell a=7.1530 b=7.1530 c=7.1530 alpha=110.25 beta=110.25 gamma=107.92
With the nearest neighbours (Å) after each atom.
Fractional positions:
Ba 0.0520 0.1250 0.4270  2 F 2.72
Ba 0.3750 0.9480 0.0730  2 F 2.72
Ba 0.6980 0.6250 0.5730  2 F 2.72
Ba 0.8750 0.3020 0.9270  2 F 2.72
Te 0.2500 0.7500 0.5000  4 Ba 3.50
Te 0.5000 0.5000 0.0000  4 Ba 3.50
F 0.0000 0.0000 0.0000  4 Ba 2.72
F 0.7500 0.2500 0.5000  4 Ba 2.72



B.
Ba2TeF | PBE-GGA | optimized geometry

Computed properties:
The crystal system is monoclinic. The value obtained for the density of states at the Fermi level is 1.48 states/eV/f.u.

Unit cell a=8.6325 b=8.7561 c=8.6869 alpha=90.00 beta=110.85 gamma=90.00
With the nearest neighbours (Å) after each atom.
Fractional positions:
Ba 0.1979 0.1515 0.0217  2 F 2.67-2.71
Ba 0.1979 0.3485 0.5217  2 F 2.67-2.71
Ba 0.2854 0.6994 0.9041  2 F 2.68-2.75
Ba 0.2854 0.8006 0.4041  2 F 2.68-2.75
Ba 0.7146 0.1994 0.5959  2 F 2.68-2.75
Ba 0.7146 0.3006 0.0959  2 F 2.68-2.75
Ba 0.8021 0.6515 0.4783  2 F 2.67-2.71
Ba 0.8021 0.8485 0.9783  2 F 2.67-2.71
Te 0.4140 0.0438 0.7490  6 Ba 3.45-3.66, 1 F 3.77
Te 0.4140 0.4562 0.2490  6 Ba 3.45-3.66, 1 F 3.77
Te 0.5860 0.5438 0.7510  6 Ba 3.45-3.66, 1 F 3.77
Te 0.5860 0.9562 0.2510  6 Ba 3.45-3.66, 1 F 3.77
F 0.1315 0.6433 0.5730  4 Ba 2.67-2.75
F 0.1315 0.8567 0.0730  4 Ba 2.67-2.75
F 0.8685 0.1433 0.9270  4 Ba 2.67-2.75
F 0.8685 0.3567 0.4270  4 Ba 2.67-2.75



C.
Ba2TeF | PBE-GGA | optimized geometry

Computed properties:
The crystal system is cubic. The value obtained for the density of states at the Fermi level is 3.23 states/eV/f.u.

Unit cell a=5.6731 b=5.6731 c=5.6731 alpha=60.00 beta=60.00 gamma=60.00
With the nearest neighbours (Å) after each atom.
Fractional positions:
Ba 0.2500 0.2500 0.2500  4 F 3.47, 4 Te 3.47
Ba 0.7500 0.7500 0.7500  4 Te 3.47, 4 F 3.47
Te 0.0000 0.0000 0.0000  8 Ba 3.47
F 0.5000 0.5000 0.5000  8 Ba 3.47



D.
Ba2TeF | PBE-GGA | optimized geometry

Computed properties:
The crystal system is trigonal. The value obtained for the density of states at the Fermi level is 2.11 states/eV/f.u.

Unit cell a=7.8248 b=7.8248 c=7.8248 alpha=34.12 beta=34.12 gamma=34.12
With the nearest neighbours (Å) after each atom.
Fractional positions:
Ba 0.2380 0.2380 0.2380  3 F 3.08, 3 Te 3.38
Ba 0.7620 0.7620 0.7620  3 F 3.08, 3 Te 3.38
Te 0.0000 0.0000 0.0000  6 Ba 3.38
F 0.5000 0.5000 0.5000  6 Ba 3.08



Relative energies, in meV/atom, with the most stable structure set to zero: A 106; B 0; C 350; D 132.